The following is a DFT calculation (GGA-PBE) of Ac3CePm2Te6 after structural relaxation.

N(E_F)	25.95	states/eV per cell
uncorrected energy	-5.323	eV/atom
uncorrected formation energy	-17.3	eV/f.u.
spin magnetization	1.344	μB/f.u.

```
data_Ac3CePm2Te6
_chemical_formula_sum 'Ac6 Ce2 Pm4 Te12'
_space_group_name_H-M_alt 'C 1 2/m 1'
_space_group_IT_number 12
_cell_length_a 20.121
_cell_length_b 4.565
_cell_length_c 9.299
_cell_angle_alpha 90.00
_cell_angle_beta 103.94
_cell_angle_gamma 90.00
loop_
_space_group_symop_operation_xyz
'x,y,z'
'-x,-y,-z'
'-x,y,-z'
'x,-y,z'
'x+1/2,y+1/2,z'
'-x+1/2,-y+1/2,-z'
'-x+1/2,y+1/2,-z'
'x+1/2,-y+1/2,z'
loop_
_atom_site_label
_atom_site_fract_x
_atom_site_fract_y
_atom_site_fract_z
Ac1 0.000 0.000 0.000
Ac2 0.166 0.500 0.333
Ce1 0.000 0.000 0.500
Pm1 0.167 0.500 0.833
Te1 0.004 0.500 0.742
Te2 0.164 0.000 0.593
Te3 0.170 0.000 0.073
```


The following is a DFT calculation (GGA-PBE) of Ac3Ce2PmTe6 after structural relaxation.

N(E_F)	36.54	states/eV per cell
uncorrected energy	-5.414	eV/atom
uncorrected formation energy	-17.2	eV/f.u.
spin magnetization	2.556	μB/f.u.

```
data_Ac3Ce2PmTe6
_chemical_formula_sum 'Ac6 Ce4 Pm2 Te12'
_space_group_name_H-M_alt 'C 1 2/m 1'
_space_group_IT_number 12
_cell_length_a 20.184
_cell_length_b 4.566
_cell_length_c 9.318
_cell_angle_alpha 90.00
_cell_angle_beta 104.38
_cell_angle_gamma 90.00
loop_
_space_group_symop_operation_xyz
'x,y,z'
'-x,-y,-z'
'-x,y,-z'
'x,-y,z'
'x+1/2,y+1/2,z'
'-x+1/2,-y+1/2,-z'
'-x+1/2,y+1/2,-z'
'x+1/2,-y+1/2,z'
loop_
_atom_site_label
_atom_site_fract_x
_atom_site_fract_y
_atom_site_fract_z
Ac1 0.000 0.000 0.000
Ac2 0.166 0.500 0.334
Ce1 0.167 0.500 0.835
Pm1 0.000 0.000 0.500
Te1 0.004 0.500 0.740
Te2 0.163 0.000 0.592
Te3 0.170 0.000 0.076
```


The following is a DFT calculation (GGA-PBE) of AcCe3Pm2Te6 after structural relaxation.

N(E_F)	47.63	states/eV per cell
uncorrected energy	-5.587	eV/atom
uncorrected formation energy	-16.8	eV/f.u.
spin magnetization	3.472	μB/f.u.

```
data_AcCe3Pm2Te6
_chemical_formula_sum 'Ac2 Ce6 Pm4 Te12'
_space_group_name_H-M_alt 'C 1 2/m 1'
_space_group_IT_number 12
_cell_length_a 7.800
_cell_length_b 13.537
_cell_length_c 7.899
_cell_angle_alpha 90.00
_cell_angle_beta 109.32
_cell_angle_gamma 90.00
loop_
_space_group_symop_operation_xyz
'x,y,z'
'-x,-y,-z'
'-x,y,-z'
'x,-y,z'
'x+1/2,y+1/2,z'
'-x+1/2,-y+1/2,-z'
'-x+1/2,y+1/2,-z'
'x+1/2,-y+1/2,z'
loop_
_atom_site_label
_atom_site_fract_x
_atom_site_fract_y
_atom_site_fract_z
Ac1 0.000 0.000 0.000
Ce1 0.000 0.161 0.500
Ce2 0.000 0.500 0.500
Pm1 0.000 0.332 0.000
Te1 0.239 0.500 0.249
Te2 0.243 0.328 0.744
```


The following is a DFT calculation (GGA-PBE) of AcCePmZn after structural relaxation.

N(E_F)	41.42	states/eV per cell
uncorrected energy	-3.824	eV/atom
energy of formation	0.1923	eV per atom
spin magnetization	1.332	μB/f.u.

```
data_AcCePmZn
_chemical_formula_sum 'Ac4 Ce4 Pm4 Zn4'
_space_group_name_H-M_alt 'F -4 3 m'
_space_group_IT_number 216
_space_group_name_Hall 'F -4 2 3'
_cell_length_a 7.871
_cell_length_b 7.871
_cell_length_c 7.871
_cell_angle_alpha 90.00
_cell_angle_beta 90.00
_cell_angle_gamma 90.00
loop_
_atom_site_label
_atom_site_fract_x
_atom_site_fract_y
_atom_site_fract_z
Ac1 0.000 0.000 0.000
Ce1 0.250 0.250 0.750
Pm1 0.250 0.250 0.250
Zn1 0.000 0.000 0.500
```


The following is a DFT calculation (GGA-PBE) of AcCe2Pr after structural relaxation.

N(E_F)	12.05	states/eV per cell
uncorrected energy	-5.029	eV/atom
energy of formation	0.1599	eV per atom
spin magnetization	2.121	μB/f.u.
distance to the lowest polymorph of the same formula	10.1	meV per atom

```
data_AcCe2Pr
_chemical_formula_sum 'Ac1 Ce2 Pr1'
_space_group_name_H-M_alt 'P 4/m m m'
_space_group_IT_number 123
_space_group_name_Hall '-P 4 2'
_cell_length_a 3.647
_cell_length_b 3.647
_cell_length_c 10.390
_cell_angle_alpha 90.00
_cell_angle_beta 90.00
_cell_angle_gamma 90.00
loop_
_atom_site_label
_atom_site_fract_x
_atom_site_fract_y
_atom_site_fract_z
Ac1 0.000 0.000 0.000
Ce1 0.500 0.500 0.256
Pr1 0.000 0.000 0.500
```


The following is a DFT calculation (GGA-PBE) of AcCe2Pr after structural relaxation.

N(E_F)	37.24	states/eV per cell
uncorrected energy	-4.883	eV/atom
energy of formation	0.3058	eV per atom
spin magnetization	1.949	μB/f.u.
distance to the lowest polymorph of the same formula	156.1	meV per atom

```
data_AcCe2Pr
_chemical_formula_sum 'Ac3 Ce6 Pr3'
_space_group_name_H-M_alt 'R -3 m'
_space_group_IT_number 166
_space_group_name_Hall '-R 3 2"'
_cell_length_a 3.5627
_cell_length_b 3.5627
_cell_length_c 38.4331
_cell_angle_alpha 90.00
_cell_angle_beta 90.00
_cell_angle_gamma 120.00
loop_
_atom_site_label
_atom_site_fract_x
_atom_site_fract_y
_atom_site_fract_z
Ac1 0.0000 0.0000 0.0000
Ce1 0.0000 0.0000 0.0897
Pr1 0.0000 0.0000 0.5000
```


The following is a DFT calculation (GGA-PBE) of AcCePr6 after structural relaxation.

N(E_F)	15.13	states/eV per cell
uncorrected energy	-4.791	eV/atom
energy of formation	0.0488	eV per atom
spin magnetization	0.839	μB/f.u.

```
data_AcCePr6
_chemical_formula_sum 'Ac1 Ce1 Pr6'
_space_group_name_H-M_alt 'P 4/m m m'
_space_group_IT_number 123
_space_group_name_Hall '-P 4 2'
_cell_length_a 5.260
_cell_length_b 5.260
_cell_length_c 10.520
_cell_angle_alpha 90.00
_cell_angle_beta 90.00
_cell_angle_gamma 90.00
loop_
_atom_site_label
_atom_site_fract_x
_atom_site_fract_y
_atom_site_fract_z
Ac1 0.000 0.000 0.000
Ce1 0.000 0.000 0.500
Pr1 0.000 0.500 0.260
Pr2 0.500 0.500 0.000
Pr3 0.500 0.500 0.500
```


The following is a DFT calculation (GGA-PBE) of Ac14CePr after structural relaxation.

N(E_F)	73.91	states/eV per cell
uncorrected energy	-4.220	eV/atom
energy of formation	0.0444	eV per atom
spin magnetization	2.158	μB/f.u.

```
data_Ac14CePr
_chemical_formula_sum 'Ac28 Ce2 Pr2'
_space_group_name_H-M_alt 'A m m 2'
_space_group_IT_number 38
_cell_length_a 11.228
_cell_length_b 11.171
_cell_length_c 11.171
_cell_angle_alpha 90.00
_cell_angle_beta 90.00
_cell_angle_gamma 90.00
loop_
_space_group_symop_operation_xyz
'x,y,z'
'-x,-y,z'
'-x,y,z'
'x,-y,z'
'x,y+1/2,z+1/2'
'-x,-y+1/2,z+1/2'
'-x,y+1/2,z+1/2'
'x,-y+1/2,z+1/2'
loop_
_atom_site_label
_atom_site_fract_x
_atom_site_fract_y
_atom_site_fract_z
Ac1 0.000 0.000 0.000
Ac2 0.000 0.000 0.500
Ac3 0.000 0.249 0.250
Ac4 0.255 0.000 0.751
Ac5 0.256 0.248 0.000
Ac6 0.258 0.000 0.248
Ac7 0.500 0.248 0.750
Ce1 0.500 0.000 0.999
Pr1 0.500 0.000 0.500
```